The following is a DFT calculation (PBE-GGA) of a relaxed structure of NdHo2Al.

Computed properties:
**ΔE_f**: 0.080 eV/atom
**Excess energy over the best structure of this formula in the dataset**: 276 meV/atom
**Space group**: No. 166
**DOS at the Fermi energy**: 5.9 states/eV/f.u.

a b c (Å): 11.6676 11.6676 11.6676
angles (deg): 17.09 17.09 17.09
With the nearest neighbours (Å) after each atom.
Positions (direct):
Nd  0.0000  0.0000  0.0000  6 Nd 3.47, 2 Ho 3.49
Ho  0.1012  0.1012  0.1012  3 Al 3.02
Ho  0.8988  0.8988  0.8988  3 Al 3.02
Al  0.5000  0.5000  0.5000  6 Ho 3.02

---

The following is a DFT calculation (PBE-GGA) of a relaxed structure of Y2ErPb.

Computed properties:
**ΔE_f**: 0.026 eV/atom
**Excess energy over the best structure of this formula in the dataset**: 298 meV/atom
**Space group**: No. 160
**DOS at the Fermi energy**: 5.3 states/eV/f.u.

a b c (Å): 6.4961 6.4961 6.4961
angles (deg): 47.09 47.09 47.09
With the nearest neighbours (Å) after each atom.
Positions (direct):
Y  0.0000  0.0000  0.0000  3 Pb 3.07
Y  0.2170  0.2170  0.2170  3 Pb 3.28, 3 Er 3.60, 3 Y 3.61
Er  0.4346  0.4346  0.4346  1 Pb 3.34, 6 Y 3.47-3.60
Pb  0.6277  0.6277  0.6277  6 Y 3.07-3.28, 1 Er 3.34

---

The following is a DFT calculation (PBE-GGA) of a relaxed structure of MnCrPdN.

Computed properties:
**Excess energy over the best structure of this formula in the dataset**: 48 meV/atom
**Space group**: No. 156
**DOS at the Fermi energy**: 3.4 states/eV/f.u.
**Formation energy without anion corrections**: -0.2005 eV/atom

a b c (Å): 2.7176 2.7176 6.8799
angles (deg): 90.00 90.00 120.00
With the nearest neighbours (Å) after each atom.
Positions (direct):
Mn  0.0000  0.0000  0.0000  3 N 2.03
Cr  0.0000  0.0000  0.3609  3 N 1.97
Pd  0.3333  0.6667  0.6744  3 Cr 2.67, 6 Pd 2.72, 3 Mn 2.73
N  0.3333  0.6667  0.1870  3 Cr 1.97, 3 Mn 2.03

---

The following is a DFT calculation (PBE-GGA) of a relaxed structure of Ta2AlMo.

Computed properties:
**ΔE_f**: -0.108 eV/atom
**Space group**: No. 6
**DOS at the Fermi energy**: 3.2 states/eV/f.u.

a b c (Å): 2.8071 4.5760 5.3771
angles (deg): 90.00 100.10 90.00
With the nearest neighbours (Å) after each atom.
Positions (direct):
Ta  0.0000  0.0000  0.0000  2 Mo 2.77-2.84, 4 Ta 2.81-2.88, 2 Al 2.85
Ta  0.2863  0.5000  0.7363  2 Mo 2.74, 3 Al 2.80-3.05, 4 Ta 2.81-2.88
Al  0.7008  0.5000  0.2495  2 Mo 2.76, 5 Ta 2.80-3.05, 2 Al 2.81
Mo  0.5151  0.0000  0.5042  4 Ta 2.74-2.84, 2 Al 2.76, 2 Mo 2.81

---

The following is a DFT calculation (PBE-GGA) of a relaxed structure of ScTa2TeMo.

Computed properties:
**Space group**: No. 123
**DOS at the Fermi energy**: 8.3 states/eV/f.u.
**Formation energy without anion corrections**: 1.0744 eV/atom

a b c (Å): 4.8697 4.8697 5.1683
angles (deg): 90.00 90.00 90.00
With the nearest neighbours (Å) after each atom.
Positions (direct):
Sc  0.0000  0.0000  0.0000  4 Te 3.44, 8 Ta 3.55
Ta  0.0000  0.5000  0.5000  2 Mo 2.43
Ta  0.5000  0.0000  0.5000  2 Mo 2.43
Te  0.5000  0.5000  0.0000  2 Mo 2.58
Mo  0.5000  0.5000  0.5000  4 Ta 2.43, 2 Te 2.58

---

The following is a DFT calculation (PBE-GGA) of a relaxed structure of BaLiRh2Pb.

Computed properties:
**ΔE_f**: 1.257 eV/atom
**Space group**: No. 123
**DOS at the Fermi energy**: 6.4 states/eV/f.u.

a b c (Å): 5.1971 5.1971 6.3041
angles (deg): 90.00 90.00 90.00
With the nearest neighbours (Å) after each atom.
Positions (direct):
Ba  0.0000  0.0000  0.0000  4 Rh 2.60
Li  0.5000  0.5000  0.5000  4 Pb 3.67, 8 Rh 4.09
Rh  0.0000  0.5000  0.0000  2 Ba 2.60
Rh  0.5000  0.0000  0.0000  2 Ba 2.60
Pb  0.0000  0.0000  0.5000  2 Ba 3.15

---

The following is a DFT calculation (PBE-GGA) of a relaxed structure of Cu3AgPd3.

Computed properties:
**ΔE_f**: -0.038 eV/atom
**Excess energy over the best structure of this formula in the dataset**: 0 meV/atom
**Space group**: No. 176
**DOS at the Fermi energy**: 3.3 states/eV/f.u.

a b c (Å): 7.2174 7.2174 4.4723
angles (deg): 90.00 90.00 120.00
With the nearest neighbours (Å) after each atom.
Positions (direct):
Cu  0.0951  0.6197  0.2500  5 Pd 2.62-2.83, 3 Ag 2.73-2.74, 4 Cu 2.73-2.74
Cu  0.3803  0.4753  0.2500  5 Pd 2.62-2.83, 3 Ag 2.73-2.74, 4 Cu 2.73-2.74
Cu  0.4753  0.0951  0.7500  5 Pd 2.62-2.83, 3 Ag 2.73-2.74, 4 Cu 2.73-2.74
Cu  0.5247  0.9049  0.2500  5 Pd 2.62-2.83, 3 Ag 2.73-2.74, 4 Cu 2.73-2.74
Cu  0.6197  0.5247  0.7500  5 Pd 2.62-2.83, 3 Ag 2.73-2.74, 4 Cu 2.73-2.74
Cu  0.9049  0.3803  0.7500  5 Pd 2.62-2.83, 3 Ag 2.73-2.74, 4 Cu 2.73-2.74
Ag  0.3333  0.6667  0.7500  9 Cu 2.73-2.74, 3 Pd 2.74
Ag  0.6667  0.3333  0.2500  9 Cu 2.73-2.74, 3 Pd 2.74
Pd  0.0324  0.7924  0.7500  5 Cu 2.62-2.83, 1 Ag 2.74, 6 Pd 2.77-2.82
Pd  0.2076  0.2400  0.7500  5 Cu 2.62-2.83, 1 Ag 2.74, 6 Pd 2.77-2.82
Pd  0.2400  0.0324  0.2500  5 Cu 2.62-2.83, 1 Ag 2.74, 6 Pd 2.77-2.82
Pd  0.7600  0.9676  0.7500  5 Cu 2.62-2.83, 1 Ag 2.74, 6 Pd 2.77-2.82
Pd  0.7924  0.7600  0.2500  5 Cu 2.62-2.83, 1 Ag 2.74, 6 Pd 2.77-2.82
Pd  0.9676  0.2076  0.2500  5 Cu 2.62-2.83, 1 Ag 2.74, 6 Pd 2.77-2.82

---

The following is a DFT calculation (PBE-GGA) of a relaxed structure of Y2ReRu.

Computed properties:
**ΔE_f**: 0.057 eV/atom
**Excess energy over the best structure of this formula in the dataset**: 97 meV/atom
**Space group**: No. 99
**DOS at the Fermi energy**: 2.7 states/eV/f.u.

a b c (Å): 3.1148 3.1148 8.9253
angles (deg): 90.00 90.00 90.00
With the nearest neighbours (Å) after each atom.
Positions (direct):
Y  0.0000  0.0000  0.0000  4 Ru 3.04, 4 Y 3.11
Y  0.5000  0.5000  0.3678  4 Re 3.05, 4 Y 3.11
Re  0.0000  0.0000  0.6043  4 Ru 2.63
Ru  0.5000  0.5000  0.7655  4 Re 2.63

---

The following is a DFT calculation (PBE-GGA) of a relaxed structure of CsFeHg2.

Computed properties:
**ΔE_f**: 0.635 eV/atom
**Space group**: No. 225
**DOS at the Fermi energy**: 1.5 states/eV/f.u.

a b c (Å): 5.6763 5.6763 5.6763
angles (deg): 60.00 60.00 60.00
With the nearest neighbours (Å) after each atom.
Positions (direct):
Cs  0.0000  0.0000  0.0000  8 Hg 3.48
Fe  0.5000  0.5000  0.5000  8 Hg 3.48
Hg  0.2500  0.2500  0.2500  4 Fe 3.48, 4 Cs 3.48
Hg  0.7500  0.7500  0.7500  4 Fe 3.48, 4 Cs 3.48

---

The following is a DFT calculation (PBE-GGA) of a relaxed structure of BaLiAuSe2.

Computed properties:
**Space group**: No. 67
**Formation energy without anion corrections**: -1.1823 eV/atom

a b c (Å): 7.7873 7.7873 5.8567
angles (deg): 90.00 90.00 133.22
With the nearest neighbours (Å) after each atom.
Positions (direct):
Ba  0.2500  0.7500  0.7695  8 Se 3.35-3.56
Ba  0.7500  0.2500  0.2305  8 Se 3.35-3.56
Li  0.2500  0.2500  0.5000  4 Se 2.72
Li  0.7500  0.7500  0.5000  4 Se 2.72
Au  0.0000  0.0000  0.0000  2 Se 2.46
Au  0.5000  0.5000  0.0000  2 Se 2.46
Se  0.1283  0.8717  0.2799  1 Au 2.46, 2 Li 2.72
Se  0.3717  0.6283  0.2799  1 Au 2.46, 2 Li 2.72
Se  0.6283  0.3717  0.7201  1 Au 2.46, 2 Li 2.72
Se  0.8717  0.1283  0.7201  1 Au 2.46, 2 Li 2.72

---

The following is a DFT calculation (PBE-GGA) of a relaxed structure of Hg5Sb2I2.

Computed properties:
**Excess energy over the best structure of this formula in the dataset**: 0 meV/atom
**Space group**: No. 5
**DOS at the Fermi energy**: 1.6 states/eV/f.u.
**Formation energy without anion corrections**: -0.0896 eV/atom

a b c (Å): 12.0907 12.0907 7.8992
angles (deg): 109.06 109.06 39.36
With the nearest neighbours (Å) after each atom.
Positions (direct):
Hg  0.0248  0.0248  0.2749  2 Sb 2.88-2.89
Hg  0.1184  0.6243  0.9880  2 Sb 2.80-2.90, 1 I 3.01
Hg  0.2315  0.2686  0.4907  2 Sb 2.74
Hg  0.3757  0.8816  0.0120  2 Sb 2.80-2.90, 1 I 3.01
Hg  0.4753  0.4752  0.7253  2 Sb 2.89
Hg  0.5248  0.5247  0.2747  2 Sb 2.89
Hg  0.6188  0.1238  0.2547  2 Sb 2.80-2.90, 1 I 3.01
Hg  0.7314  0.7685  0.5093  2 Sb 2.74
Hg  0.8762  0.3812  0.7453  2 Sb 2.80-2.90, 1 I 3.01
Hg  0.9752  0.9752  0.7251  2 Sb 2.88-2.89
Sb  0.2500  0.7500  0.0000  6 Hg 2.89-2.90
Sb  0.4895  0.0105  0.2688  4 Hg 2.74-2.80
Sb  0.7500  0.2500  0.5000  6 Hg 2.88-2.90
Sb  0.9895  0.5105  0.7312  4 Hg 2.74-2.80
I  0.1238  0.6257  0.3718  1 Hg 3.01
I  0.3743  0.8762  0.6282  1 Hg 3.01
I  0.6248  0.1257  0.8783  1 Hg 3.01
I  0.8743  0.3752  0.1217  1 Hg 3.01

---

The following is a DFT calculation (PBE-GGA) of a relaxed structure of TaAlSN2.

Computed properties:
**Excess energy over the best structure of this formula in the dataset**: 392 meV/atom
**Space group**: No. 123
**DOS at the Fermi energy**: 3.4 states/eV/f.u.
**Formation energy without anion corrections**: 0.4790 eV/atom

a b c (Å): 3.6923 3.6923 4.5804
angles (deg): 90.00 90.00 90.00
With the nearest neighbours (Å) after each atom.
Positions (direct):
Ta  0.0000  0.0000  0.0000  4 S 2.61
Al  0.5000  0.5000  0.5000  4 N 1.85
S  0.5000  0.5000  0.0000  2 Al 2.29
N  0.0000  0.5000  0.5000  2 Al 1.85
N  0.5000  0.0000  0.5000  2 Al 1.85